(1)
Density functional theory data (PBE) for a relaxed structure of Hf3SbC2.

Geometry as POSCAR:
```
Hf3SbC2
1.0
3.363 0.000 0.000
-1.682 2.913 0.000
0.000 0.000 19.315
C Hf Sb
4 6 2
Direct
0.333 0.667 0.071
0.667 0.333 0.929
0.667 0.333 0.571
0.333 0.667 0.429
0.667 0.333 0.130
0.667 0.333 0.370
0.333 0.667 0.630
0.000 0.000 0.000
0.333 0.667 0.870
0.000 0.000 0.500
0.000 0.000 0.250
0.000 0.000 0.750
```

SG: P6_3/mmc (194)
E (eV per atom): -9.571

---

(2)
Density functional theory data (PBE) for a relaxed structure of Hf3ScSb2C2.

Geometry as POSCAR:
```
Hf3ScSb2C2
1.0
3.403 0.000 0.000
-1.702 2.947 0.000
0.000 0.000 14.027
Sb Hf Sc C
2 3 1 2
Direct
0.333 0.667 0.748
0.000 0.000 0.250
0.000 0.000 0.584
0.333 0.667 0.413
0.333 0.667 0.087
0.000 0.000 0.915
0.667 0.333 0.499
0.667 0.333 0.004
```

SG: P3m1 (156)
E (eV per atom): -8.615

---

(3)
Density functional theory data (PBE) for a relaxed structure of Hf4Sc2Sb3C3.

Geometry as POSCAR:
```
Hf4Sc2Sb3C3
1.0
-5.081 -0.248 2.953
-5.006 -1.180 -2.855
5.335 -13.296 2.201
Sb Hf C Sc
6 8 6 4
Direct
0.919 0.081 0.750
0.415 0.250 0.249
0.081 0.919 0.250
0.750 0.585 0.251
0.585 0.750 0.751
0.250 0.415 0.749
0.977 0.801 0.916
0.023 0.199 0.084
0.143 0.305 0.416
0.801 0.977 0.416
0.305 0.143 0.916
0.695 0.857 0.084
0.199 0.023 0.584
0.857 0.695 0.584
0.329 0.842 0.000
0.671 0.158 0.000
0.500 0.000 0.500
0.842 0.329 0.500
0.000 0.500 0.000
0.158 0.671 0.500
0.634 0.471 0.913
0.471 0.634 0.413
0.366 0.529 0.087
0.529 0.366 0.587
```

SG: C2/c (15)
E (eV per atom): -8.472

---

(4)
Density functional theory data (PBE) for a relaxed structure of Hf4SiSbC2.

Geometry as POSCAR:
```
Hf4SiSbC2
1.0
3.334 0.000 0.000
-1.667 2.887 0.000
0.000 0.000 13.698
Hf C Sb Si
4 2 1 1
Direct
0.667 0.333 0.832
0.000 0.000 0.650
0.000 0.000 0.350
0.667 0.333 0.168
0.333 0.667 0.258
0.333 0.667 0.742
0.000 0.000 0.000
0.667 0.333 0.500
```

SG: P-6m2 (187)
E (eV per atom): -9.234

---

E of number 4 (Hf4SiSbC2)?
-9.234 eV per atom